Cs2MoF6 | PBE with a Hubbard U | relaxed Values from VASP.

Structure (Quantum ESPRESSO input):
```
&SYSTEM
  ibrav = 0, nat = 9, ntyp = 3
/
ATOMIC_SPECIES
Cs 132.91 Cs.upf
Mo 95.94 Mo.upf
F 19.00 F.upf
CELL_PARAMETERS angstrom
6.822 0.000 0.000
-3.411 5.908 0.000
0.000 0.000 5.171
ATOMIC_POSITIONS angstrom
Cs 0.000 3.939 0.000
Cs 3.411 1.969 0.000
Mo 0.000 0.000 2.585
F -0.842 1.459 3.686
F -2.569 4.450 1.485
F 1.684 0.000 3.686
F 0.842 1.459 1.485
F 5.138 0.000 1.485
F 2.569 4.450 3.686
```

Properties
Final energy   -4.8952 eV per atom
SG   P-31m (162)
V   208 Å³/cell
D(E_F)   0.762 states/eV per atom